Entry 1:
Compound: BaLi2NiF8
Source: Alexandria
Functional: GGA+U
Structure: optimized geometry

a b c (Å): 4.9115 4.9115 7.8536
angles (deg): 71.78 71.78 60.00
With the nearest neighbours (Å) after each atom.
Sites, in units of the cell vectors:
Ba1 0.5000 0.5000 0.5000  12 F 2.88-3.06
Li1 0.2720 0.2720 0.1840  4 F 1.83-1.91
Li2 0.7280 0.7280 0.8160  4 F 1.83-1.91
Ni1 0.0000 0.0000 0.0000  6 F 1.80
F1 0.1889 0.1889 0.4334  1 Li 1.83
F2 0.6776 0.2683 0.1430  1 Ni 1.80, 1 Li 1.91
F3 0.8111 0.8111 0.5666  1 Li 1.83
F4 0.9110 0.6776 0.1430  1 Ni 1.80, 1 Li 1.91
F5 0.0890 0.3224 0.8570  1 Ni 1.80, 1 Li 1.91
F6 0.2683 0.9110 0.1430  1 Ni 1.80, 1 Li 1.91
F7 0.7317 0.0890 0.8570  1 Ni 1.80, 1 Li 1.91
F8 0.3224 0.7317 0.8570  1 Ni 1.80, 1 Li 1.91

Values from the calculation:
The space group is R-3 (148).

---

Entry 2:
Compound: Ba2Li3NiF12
Source: Alexandria
Functional: GGA+U
Structure: optimized geometry

a b c (Å): 6.9372 6.9372 6.9372
angles (deg): 63.12 63.12 63.12
With the nearest neighbours (Å) after each atom.
Sites, in units of the cell vectors:
Ba1 0.6460 0.6460 0.6460  9 F 2.78-3.01
Ba2 0.3540 0.3540 0.3540  9 F 2.78-3.01
Li1 0.5000 0.0000 0.0000  2 F 1.89
Li2 0.0000 0.5000 0.0000  2 F 1.89
Li3 0.0000 0.0000 0.5000  2 F 1.89
Ni1 0.0000 0.0000 0.0000  6 F 1.78
F1 0.3698 0.3698 0.9388  2 Li 2.20
F2 0.9404 0.9404 0.2958  1 Ni 1.78, 1 Li 1.89
F3 0.2958 0.9404 0.9404  1 Ni 1.78, 1 Li 1.89
F4 0.9388 0.3698 0.3698  2 Li 2.20
F5 0.9404 0.2958 0.9404  1 Ni 1.78, 1 Li 1.89
F6 0.3698 0.9388 0.3698  2 Li 2.20
F7 0.6302 0.6302 0.0612  2 Li 2.20
F8 0.0596 0.0596 0.7042  1 Ni 1.78, 1 Li 1.89
F9 0.7042 0.0596 0.0596  1 Ni 1.78, 1 Li 1.89
F10 0.0612 0.6302 0.6302  2 Li 2.20
F11 0.0596 0.7042 0.0596  1 Ni 1.78, 1 Li 1.89
F12 0.6302 0.0612 0.6302  2 Li 2.20

Values from the calculation:
The space group is R-3m (166).

---

Values for total energy, eV per atom, ordered as above
-4.46 -4.50